Entry 1:
# La8Ir3Br4N

La8Ir3Br4N after structural relaxation (PBE, the Alexandria database).

Unit cell a=8.3397 b=8.3397 c=9.2416 alpha=117.25 beta=117.25 gamma=58.13
With the nearest neighbours (Å) after each atom.
Fractional coordinates of all 16 atoms:
La: 0.2187 0.7565 0.6856  1 N 2.61, 1 Ir 2.84
La: 0.2359 0.2359 0.6971  2 Ir 2.80, 1 N 2.93
La: 0.2435 0.7813 0.3144  1 N 2.61, 1 Ir 2.84
La: 0.2640 0.2640 0.3007  3 Ir 2.82-2.93
La: 0.7360 0.7360 0.6993  3 Ir 2.82-2.93
La: 0.7565 0.2187 0.6856  1 N 2.61, 1 Ir 2.84
La: 0.7641 0.7641 0.3029  2 Ir 2.80, 1 N 2.93
La: 0.7813 0.2435 0.3144  1 N 2.61, 1 Ir 2.84
Ir: 0.0000 0.5000 0.5000  6 La 2.80-2.96
Ir: 0.5000 0.0000 0.5000  6 La 2.80-2.96
Ir: 0.5000 0.5000 0.5000  6 La 2.84-2.93
Br: 0.0000 0.0000 0.0000  6 La 3.37-3.38
Br: 0.0000 0.5000 0.0000  6 La 3.36-3.38
Br: 0.5000 0.0000 0.0000  6 La 3.36-3.38
Br: 0.5000 0.5000 0.0000  6 La 3.37-3.56
N: 0.0000 0.0000 0.5000  4 La 2.61

Values from the calculation:
theoretical density = 7.219 Mg/m³
energy relative to the elements, uncorrected = -19.7 eV per formula unit
E_tot = -6.293 eV/atom
space group = C2/m

---

Entry 2:
# KBi2C

KBi2C after structural relaxation (PBE, the Alexandria database).

Unit cell a=7.8769 b=7.8769 c=7.4411 alpha=90.00 beta=90.00 gamma=90.00
With the nearest neighbours (Å) after each atom.
Fractional coordinates of all 16 atoms:
K: 0.0000 0.0000 0.0000  8 Bi 3.58-3.60, 2 C 3.72
K: 0.0000 0.5000 0.2500  8 Bi 3.58-3.60, 2 C 3.72
K: 0.5000 0.0000 0.7500  8 Bi 3.58-3.60, 2 C 3.72
K: 0.5000 0.5000 0.5000  8 Bi 3.58-3.60, 2 C 3.72
Bi: 0.1357 0.2500 0.6250  2 C 2.43
Bi: 0.2500 0.6357 0.8750  2 C 2.43
Bi: 0.2500 0.8643 0.3750  2 C 2.43
Bi: 0.3643 0.2500 0.1250  2 C 2.43
Bi: 0.6357 0.7500 0.1250  2 C 2.43
Bi: 0.7500 0.1357 0.3750  2 C 2.43
Bi: 0.7500 0.3643 0.8750  2 C 2.43
Bi: 0.8643 0.7500 0.6250  2 C 2.43
C: 0.0000 0.0000 0.5000  4 Bi 2.43
C: 0.0000 0.5000 0.7500  4 Bi 2.43
C: 0.5000 0.0000 0.2500  4 Bi 2.43
C: 0.5000 0.5000 0.0000  4 Bi 2.43

Values from the calculation:
theoretical density = 6.748 Mg/m³
E_tot = -3.753 eV/atom
space group = I-42d